No. 1
Density functional theory data (PBE-GGA) for a relaxed structure of LiSm3C2N6.

Cell: 5.3663 5.3663 6.0246 Å, 90.00 90.00 120.00°
Positions (direct):
Sm: 0.6667 0.3333 0.3382
Sm: 0.0000 0.0000 0.0000
Sm: 0.3333 0.6667 0.6618
N: 0.6257 0.8128 0.2722
N: 0.8128 0.1872 0.7278
N: 0.1872 0.3743 0.2722
N: 0.3743 0.1872 0.7278
N: 0.1872 0.8128 0.2722
N: 0.8128 0.6257 0.7278
Li: 0.0000 0.0000 0.5000
C: 0.6667 0.3333 0.7474
C: 0.3333 0.6667 0.2526

Computed properties:
Space group   P-3m1, No. 164
Crystal system   trigonal
D(E_F)   0.146 states/eV/cell
Uncorrected formation energy   -814.6 meV per atom
E   -7.85 eV per atom

No. 2
Density functional theory data (PBE-GGA) for a relaxed structure of KMg2ZnPd.

Cell: 5.1323 5.1323 5.0329 Å, 90.00 90.00 90.00°
Positions (direct):
K: 0.5000 0.5000 0.5000
Mg: 0.0000 0.5000 0.0000
Mg: 0.5000 0.0000 0.0000
Pd: 0.0000 0.0000 0.0000
Zn: 0.0000 0.0000 0.5000

Computed properties:
Space group   P4/mmm, No. 123
Crystal system   tetragonal
Energy of formation from the pure elements   -0.189 eV/atom
D(E_F)   1.314 states/eV/cell
E   -2.34 eV per atom

No. 3
Density functional theory data (PBE-GGA) for a relaxed structure of BeBrF.

Cell: 4.9574 7.0129 7.7942 Å, 103.06 90.00 90.00°
Positions (direct):
F: 0.0814 0.2592 0.0320
F: 0.5814 0.2408 0.9680
F: 0.9186 0.7408 0.9680
F: 0.4186 0.7592 0.0320
Br: 0.2478 0.9266 0.7072
Br: 0.7522 0.0734 0.2928
Br: 0.2522 0.4266 0.7072
Br: 0.7478 0.5734 0.2928
Be: 0.2041 0.7204 0.8834
Be: 0.2959 0.2204 0.8834
Be: 0.7041 0.7796 0.1166
Be: 0.7959 0.2796 0.1166

Computed properties:
Space group   P2_1/c, No. 14
Crystal system   monoclinic
D(E_F)   0.000 states/eV/cell
Uncorrected formation energy   -2132.5 meV per atom
E   -4.56 eV per atom

No. 4
Density functional theory data (PBE-GGA) for a relaxed structure of Ba5B20H4O38.

Cell: 6.7948 9.7209 11.8274 Å, 94.25 90.00 90.00°
Positions (direct):
B: 0.2793 0.0740 0.2486
B: 0.5777 0.6768 0.9863
B: 0.7854 0.9507 0.3018
B: 0.9409 0.6326 0.9621
B: 0.4281 0.3278 0.5585
B: 0.8048 0.7583 0.1472
B: 0.0750 0.6607 0.4784
B: 0.5777 0.3232 0.0137
B: 0.3062 0.7044 0.6387
B: 0.0750 0.3393 0.5216
B: 0.4281 0.6722 0.4415
B: 0.7854 0.0493 0.6982
B: 0.2793 0.9260 0.7514
B: 0.9409 0.3674 0.0379
B: 0.2677 0.2905 0.1478
B: 0.7730 0.7119 0.3543
B: 0.3062 0.2956 0.3613
B: 0.2677 0.7095 0.8522
B: 0.8048 0.2417 0.8528
B: 0.7730 0.2881 0.6457
O: 0.6063 0.7240 0.0980
O: 0.2632 0.9299 0.2436
O: 0.8533 0.6737 0.2422
O: 0.2911 0.8550 0.6486
O: 0.2632 0.0701 0.7564
O: 0.9561 0.2589 0.9425
O: 0.5636 0.6575 0.3563
O: 0.8043 0.9092 0.1890
O: 0.0072 0.5000 0.0000
O: 0.3544 0.6466 0.7452
O: 0.4661 0.3332 0.4461
O: 0.0618 0.6641 0.8628
O: 0.3544 0.3534 0.2548
O: 0.0618 0.3359 0.1372
O: 0.7314 0.3697 0.0812
O: 0.4661 0.6668 0.5539
O: 0.3832 0.3354 0.0494
O: 0.5636 0.3425 0.6437
O: 0.2303 0.3120 0.5953
O: 0.8533 0.3263 0.7578
O: 0.2739 0.8642 0.8524
O: 0.1169 0.3537 0.4099
O: 0.8849 0.3579 0.5574
O: 0.8043 0.0908 0.8110
O: 0.8849 0.6421 0.4426
O: 0.7719 0.8604 0.3854
O: 0.9561 0.7411 0.0575
O: 0.1169 0.6463 0.5901
O: 0.2303 0.6880 0.4047
O: 0.2911 0.1450 0.3514
O: 0.2739 0.1358 0.1476
O: 0.6063 0.2760 0.9020
O: 0.7314 0.6303 0.9188
O: 0.7830 0.9084 0.6635
O: 0.3832 0.6646 0.9506
O: 0.7719 0.1396 0.6146
O: 0.7830 0.0916 0.3365
O: 0.5981 0.0000 0.0000
Ba: 0.2530 0.6199 0.1722
Ba: 0.2530 0.3801 0.8278
Ba: 0.7675 0.6152 0.6946
Ba: 0.7675 0.3848 0.3054
Ba: 0.0220 0.0000 0.0000
H: 0.2548 0.0983 0.6790
H: 0.7697 0.8995 0.5805
H: 0.7697 0.1005 0.4195
H: 0.2548 0.9017 0.3210

Computed properties:
Space group   P2, No. 3
Crystal system   monoclinic
D(E_F)   6.068 states/eV/cell
E   -7.55 eV per atom

No. 5
Density functional theory data (PBE-GGA) for a relaxed structure of KNi2Ir.

Cell: 4.4795 4.4795 4.4795 Å, 60.00 60.00 60.00°
Positions (direct):
K: 0.2500 0.2500 0.2500
Ni: 0.7500 0.7500 0.7500
Ni: 0.0000 0.0000 0.0000
Ir: 0.5000 0.5000 0.5000

Computed properties:
Space group   F-43m, No. 216
Crystal system   cubic
Energy of formation from the pure elements   1.201 eV/atom
D(E_F)   5.162 states/eV/cell
E   -4.18 eV per atom

No. 6
Density functional theory data (PBE-GGA) for a relaxed structure of SrNd2TiN4.

Cell: 3.5897 6.4349 12.3157 Å, 90.00 90.00 106.20°
Positions (direct):
Ti: 0.1699 0.3397 0.2500
Ti: 0.8301 0.6603 0.7500
Nd: 0.6297 0.2594 0.0387
Nd: 0.6297 0.2594 0.4613
Nd: 0.3703 0.7406 0.5387
Nd: 0.3703 0.7406 0.9613
N: 0.0000 0.0000 0.5000
N: 0.7402 0.4804 0.6265
N: 0.5908 0.1816 0.2500
N: 0.2598 0.5196 0.1265
N: 0.0000 0.0000 0.0000
N: 0.2598 0.5196 0.3735
N: 0.4092 0.8184 0.7500
N: 0.7402 0.4804 0.8735
Sr: 0.8965 0.7930 0.2500
Sr: 0.1035 0.2070 0.7500

Computed properties:
Space group   Cmcm, No. 63
Crystal system   orthorhombic
Uncorrected formation energy   -1282.5 meV per atom
E   -7.83 eV per atom

No. 7
Density functional theory data (PBE-GGA) for a relaxed structure of Ac2PtRh.

Cell: 4.2735 4.2735 7.8143 Å, 74.13 74.13 60.00°
Positions (direct):
Rh: 0.6656 0.6656 0.0032
Ac: 0.0783 0.0783 0.7650
Ac: 0.2549 0.2549 0.2353
Pt: 0.5012 0.5012 0.4965

Computed properties:
Space group   R3m, No. 160
Crystal system   trigonal
Energy of formation from the pure elements   -0.798 eV/atom
D(E_F)   2.792 states/eV/cell
E   -6.20 eV per atom

No. 8
Density functional theory data (PBE-GGA) for a relaxed structure of RbSiBiSb2.

Cell: 5.8416 6.7085 5.8416 Å, 90.00 90.00 90.00°
Positions (direct):
Sb: 0.5000 0.0000 0.0000
Sb: 0.0000 0.0000 0.5000
Bi: 0.0000 0.0000 0.0000
Rb: 0.0000 0.5000 0.0000
Si: 0.5000 0.5000 0.5000

Computed properties:
Space group   P4/mmm, No. 123
Crystal system   tetragonal
D(E_F)   5.203 states/eV/cell
Uncorrected formation energy   986.6 meV per atom
E   -2.72 eV per atom